No. 1
Computed, not measured: a relaxed Gd2Sb2IrOsO2 crystal at the GGA-PBE level of DFT.

* crystal system: tetragonal
* E_tot: -7.52 eV/atom
* spin magnetization: 0.002 μB/cell

Cell: 4.197 4.197 8.417 Å, 90.00 90.00 90.00°
Space group P-4m2 (No. 115)
Asymmetric unit:
Gd 0.000 0.500 0.120 [2 per cell]
Sb 0.000 0.500 0.682 [2 per cell]
Ir 0.500 0.500 0.500 [1 per cell]
Os 0.000 0.000 0.500 [1 per cell]
O 0.000 0.000 0.000 [1 per cell]
O 0.500 0.500 0.000 [1 per cell]


No. 2
Computed, not measured: a relaxed NaFeB4 crystal at the GGA-PBE level of DFT.

* crystal system: orthorhombic
* offset from the most stable computed form: 240 meV per atom
* spin magnetization: 4.936 μB/cell

Cell: 2.926 5.351 6.850 Å, 90.00 90.00 90.00°
Space group Immm (No. 71)
Asymmetric unit:
Na 0.000 0.000 0.000 [2 per cell]
Fe 0.000 0.000 0.500 [2 per cell]
B 0.000 0.342 0.238 [8 per cell]


No. 3
Computed, not measured: a relaxed HgBPt crystal at the GGA-PBE level of DFT.

* crystal system: cubic
* E_tot: -3.71 eV/atom
* spin magnetization: 0.002 μB/cell

Cell: 5.673 5.673 5.673 Å, 90.00 90.00 90.00°
Space group F-43m (No. 216)
Asymmetric unit:
Hg 0.000 0.000 0.000 [4 per cell]
B 0.250 0.250 0.250 [4 per cell]
Pt 0.000 0.000 0.500 [4 per cell]


No. 4
Computed, not measured: a relaxed HoHf crystal at the GGA-PBE level of DFT.

* crystal system: hexagonal
* offset from the most stable computed form: 0 meV per atom
* spin magnetization: 0.019 μB/cell
* formation energy: 0.28 eV per formula unit

Cell: 3.3561 3.3561 5.3080 Å, 90.00 90.00 120.00°
Space group P-6m2 (No. 187)
Asymmetric unit:
Ho 0.0000 0.0000 0.0000 [1 per cell]
Hf 0.3333 0.6667 0.5000 [1 per cell]


No. 5
Computed, not measured: a relaxed CsFeHgSe3 crystal at the GGA-PBE level of DFT.

* crystal system: orthorhombic
* offset from the most stable computed form: 72 meV per atom
* spin magnetization: 18.135 μB/cell

Cell: 3.920 16.489 10.989 Å, 90.00 90.00 90.00°
Space group Cmcm (No. 63)
Asymmetric unit:
Cs 0.000 0.249 0.250 [4 per cell]
Fe 0.000 0.000 0.000 [4 per cell]
Hg 0.000 0.455 0.750 [4 per cell]
Se 0.000 0.067 0.750 [4 per cell]
Se 0.000 0.396 0.529 [8 per cell]


No. 6
Computed, not measured: a relaxed KTlSnHgTe4 crystal at the GGA-PBE level of DFT.

* crystal system: orthorhombic
* E_tot: -2.95 eV/atom

Cell: 7.402 8.624 8.789 Å, 90.00 90.00 90.00°
Space group I222 (No. 23)
Asymmetric unit:
K 0.000 0.000 0.000 [2 per cell]
Tl 0.000 0.500 0.500 [2 per cell]
Sn 0.000 0.000 0.500 [2 per cell]
Hg 0.000 0.500 0.000 [2 per cell]
Te 0.238 0.179 0.678 [8 per cell]


No. 7
Computed, not measured: a relaxed Zn2Pb crystal at the GGA-PBE level of DFT.

* crystal system: cubic
* E_tot: -1.98 eV/atom

Cell: 7.901 7.901 7.901 Å, 90.00 90.00 90.00°
Space group Fd-3m (No. 227, origin choice 2)
Asymmetric unit:
Zn 0.000 0.000 0.000 [16 per cell]
Pb 0.125 0.125 0.625 [8 per cell]


No. 8
Computed, not measured: a relaxed CsErBi crystal at the GGA-PBE level of DFT.

* crystal system: cubic
* offset from the most stable computed form: 537 meV per atom
* spin magnetization: 0.012 μB/cell

Cell: 8.027 8.027 8.027 Å, 90.00 90.00 90.00°
Space group F-43m (No. 216)
Asymmetric unit:
Cs 0.000 0.000 0.000 [4 per cell]
Er 0.250 0.250 0.750 [4 per cell]
Bi 0.250 0.250 0.250 [4 per cell]


No. 9
Computed, not measured: a relaxed Dy2Al3Hg3 crystal at the GGA-PBE level of DFT.

* crystal system: hexagonal
* offset from the most stable computed form: 0 meV per atom
* spin magnetization: 0.003 μB/cell

Cell: 6.5823 6.5823 4.6603 Å, 90.00 90.00 120.00°
Space group P-6m2 (No. 187)
Asymmetric unit:
Dy 0.0000 0.0000 0.0000 [1 per cell]
Dy 0.3333 0.6667 0.5000 [1 per cell]
Al 0.5228 0.0455 0.0000 [3 per cell]
Hg 0.3450 0.1725 0.5000 [3 per cell]


No. 10
Computed, not measured: a relaxed NiGeSb2 crystal at the GGA-PBE level of DFT.

* crystal system: cubic
* E_tot: -4.16 eV/atom
* spin magnetization: 0.007 μB/cell

Cell: 6.910 6.910 6.910 Å, 90.00 90.00 90.00°
Space group F-43m (No. 216)
Asymmetric unit:
Ni 0.000 0.000 0.000 [4 per cell]
Ge 0.250 0.250 0.750 [4 per cell]
Sb 0.000 0.000 0.500 [4 per cell]
Sb 0.250 0.250 0.250 [4 per cell]


No. 11
Computed, not measured: a relaxed Ni3GeSe4 crystal at the GGA-PBE level of DFT.

* crystal system: tetragonal
* E_tot: -4.64 eV/atom
* spin magnetization: 0.012 μB/cell

Cell: 5.491 5.491 10.888 Å, 90.00 90.00 90.00°
Space group I-42m (No. 121)
Asymmetric unit:
Ni 0.000 0.000 0.000 [2 per cell]
Ni 0.000 0.500 0.250 [4 per cell]
Ge 0.000 0.000 0.500 [2 per cell]
Se 0.235 0.235 0.867 [8 per cell]


No. 12
Computed, not measured: a relaxed LuGeSb crystal at the GGA-PBE level of DFT.

* crystal system: cubic
* E_tot: -4.47 eV/atom
* spin magnetization: 0.003 μB/cell

Cell: 7.020 7.020 7.020 Å, 90.00 90.00 90.00°
Space group F-43m (No. 216)
Asymmetric unit:
Lu 0.000 0.000 0.000 [4 per cell]
Ge 0.000 0.000 0.500 [4 per cell]
Sb 0.250 0.250 0.750 [4 per cell]


No. 13
Computed, not measured: a relaxed BeOsNO crystal at the GGA-PBE level of DFT.

* crystal system: orthorhombic
* offset from the most stable computed form: 0 meV per atom
* spin magnetization: 0.005 μB/cell

Cell: 2.733 5.650 4.692 Å, 90.00 90.00 90.00°
Space group Pmc2_1 (No. 26)
Asymmetric unit:
Be 0.000 0.113 0.000 [2 per cell]
Os 0.500 0.409 0.540 [2 per cell]
N 0.000 0.159 0.634 [2 per cell]
O 0.500 0.239 0.122 [2 per cell]


No. 14
Computed, not measured: a relaxed WSe2 crystal at the GGA-PBE level of DFT.

* crystal system: orthorhombic
* E_tot: -6.84 eV/atom
* spin magnetization: 0.007 μB/cell

Cell: 5.842 7.182 5.820 Å, 90.00 90.00 90.00°
Space group Pbcn (No. 60)
Asymmetric unit:
W 0.000 0.090 0.250 [4 per cell]
Se 0.220 0.372 0.076 [8 per cell]


No. 15
Computed, not measured: a relaxed Sr2H6IrPb crystal at the GGA-PBE level of DFT.

* crystal system: cubic
* E_tot: -3.93 eV/atom
* spin magnetization: 0.002 μB/cell

Cell: 8.213 8.213 8.213 Å, 90.00 90.00 90.00°
Space group Fm-3m (No. 225)
Asymmetric unit:
Sr 0.250 0.250 0.250 [8 per cell]
H 0.000 0.000 0.208 [24 per cell]
Ir 0.000 0.000 0.000 [4 per cell]
Pb 0.000 0.000 0.500 [4 per cell]


No. 16
Computed, not measured: a relaxed Tm2Al6Si4Au crystal at the GGA-PBE level of DFT.

* crystal system: trigonal
* E_tot: -4.70 eV/atom
* spin magnetization: 0.075 μB/cell

Cell: 4.1969 4.1969 49.7244 Å, 90.00 90.00 120.00°
Space group R-3m (No. 166, hexagonal axes)
Asymmetric unit:
Tm 0.0000 0.0000 0.0654 [6 per cell]
Al 0.0000 0.0000 0.1835 [6 per cell]
Al 0.0000 0.0000 0.3143 [6 per cell]
Al 0.0000 0.0000 0.4472 [6 per cell]
Si 0.0000 0.0000 0.2351 [6 per cell]
Si 0.0000 0.0000 0.3653 [6 per cell]
Au 0.0000 0.0000 0.5000 [3 per cell]


No. 17
Computed, not measured: a relaxed Cu2SnMo crystal at the GGA-PBE level of DFT.

* crystal system: cubic
* E_tot: -5.19 eV/atom
* spin magnetization: 5.468 μB/cell

Cell: 6.338 6.338 6.338 Å, 90.00 90.00 90.00°
Space group F-43m (No. 216)
Asymmetric unit:
Cu 0.000 0.000 0.000 [4 per cell]
Cu 0.250 0.250 0.250 [4 per cell]
Sn 0.000 0.000 0.500 [4 per cell]
Mo 0.250 0.250 0.750 [4 per cell]


No. 18
Computed, not measured: a relaxed GaCuAg2 crystal at the GGA-PBE level of DFT.

* crystal system: cubic
* E_tot: -3.06 eV/atom

Cell: 6.362 6.362 6.362 Å, 90.00 90.00 90.00°
Space group F-43m (No. 216)
Asymmetric unit:
Ga 0.000 0.000 0.000 [4 per cell]
Cu 0.250 0.250 0.250 [4 per cell]
Ag 0.000 0.000 0.500 [4 per cell]
Ag 0.250 0.250 0.750 [4 per cell]


No. 19
Computed, not measured: a relaxed LuPaAsO crystal at the GGA-PBE level of DFT.

* crystal system: tetragonal
* offset from the most stable computed form: 0 meV per atom
* spin magnetization: 2.327 μB/cell

Cell: 4.187 4.187 9.021 Å, 90.00 90.00 90.00°
Space group P4/nmm (No. 129, origin choice 2)
Asymmetric unit:
Lu 0.250 0.750 0.000 [2 per cell]
Pa 0.250 0.250 0.363 [2 per cell]
As 0.250 0.250 0.783 [2 per cell]
O 0.250 0.750 0.500 [2 per cell]


No. 20
Computed, not measured: a relaxed PaReNO crystal at the GGA-PBE level of DFT.

* crystal system: orthorhombic
* offset from the most stable computed form: 0 meV per atom
* spin magnetization: 0.004 μB/cell

Cell: 3.930 5.243 4.982 Å, 90.00 90.00 90.00°
Space group Pmc2_1 (No. 26)
Asymmetric unit:
Pa 0.000 0.236 0.000 [2 per cell]
Re 0.500 0.344 0.510 [2 per cell]
N 0.000 0.275 0.494 [2 per cell]
O 0.500 0.037 0.797 [2 per cell]